VASP calculation (PBE-GGA) on crystalline LaIrCl2 at its relaxed geometry.

energy: -5.105 eV per atom
V: 28.7 Å³ per atom
DOS(E_F): 0.66 states/eV per cell
calculated density: 5.81 g cm⁻³

Unit cell a=4.2817 b=6.5506 c=8.1965 alpha=90.00 beta=90.00 gamma=90.00
With the nearest neighbours (Å) after each atom.
Space group Cmm2 (No. 35)
Inequivalent atoms, fractional coordinates:
1 La 0.0000 0.0000 0.0000  3 Cl 2.80-2.90, 2 Ir 2.85
2 Ir 0.0000 0.5000 0.7708  2 Cl 2.33
3 Cl 0.0000 0.0000 0.6580  2 Ir 2.33
4 Cl 0.0000 0.5000 0.2379  2 La 2.90